This record from OQMD via LeMat-Bulk describes a relaxed structure of Sc4ZnPbN2. The functional is GGA-PBE.

a = 3.281 Å, b = 3.281 Å, c = 14.331 Å
α = 90.00°, β = 90.00°, γ = 120.00°
Element x y z (fractional)
Sc: 0.667 0.333 0.657
Sc: 0.667 0.333 0.343
N: 0.333 0.667 0.746
Sc: 0.000 0.000 0.825
N: 0.333 0.667 0.254
Pb: 0.667 0.333 0.000
Zn: 0.000 0.000 0.500
Sc: 0.000 0.000 0.175


This record from OQMD via LeMat-Bulk describes a relaxed structure of RbFe2S3. The functional is GGA-PBE.

a = 8.168 Å, b = 3.487 Å, c = 8.941 Å
α = 90.00°, β = 115.37°, γ = 90.00°
Element x y z (fractional)
Rb: 0.509 0.750 0.760
S: 0.225 0.750 0.357
Fe: 0.019 0.750 0.109
Fe: 0.033 0.250 0.340
S: 0.136 0.250 0.625
Rb: 0.491 0.250 0.240
S: 0.849 0.250 0.061
Fe: 0.981 0.250 0.891
S: 0.151 0.750 0.939
S: 0.775 0.250 0.643
S: 0.864 0.750 0.375
Fe: 0.967 0.750 0.660


This record from OQMD via LeMat-Bulk describes a relaxed structure of Sc2In4CoNi. The functional is GGA-PBE.

a = 7.241 Å, b = 5.459 Å, c = 5.459 Å
α = 46.06°, β = 90.00°, γ = 90.00°
Element x y z (fractional)
Sc: 0.000 0.063 0.063
In: 0.295 0.643 0.643
In: 0.705 0.643 0.643
In: 0.204 0.358 0.358
Sc: 0.500 0.932 0.932
Ni: 0.500 0.206 0.206
In: 0.796 0.358 0.358
Co: 0.000 0.797 0.797


This record from OQMD via LeMat-Bulk describes a relaxed structure of CsCuTe3Mo. The functional is GGA-PBE.

a = 8.864 Å, b = 8.864 Å, c = 10.648 Å
α = 90.00°, β = 90.00°, γ = 153.18°
Element x y z (fractional)
Mo: 0.000 0.000 0.000
Te: 0.609 0.391 0.955
Te: 0.063 0.937 0.250
Te: 0.391 0.609 0.455
Te: 0.391 0.609 0.045
Te: 0.937 0.063 0.750
Cu: 0.468 0.532 0.250
Cu: 0.532 0.468 0.750
Cs: 0.247 0.753 0.750
Mo: 0.000 0.000 0.500
Cs: 0.753 0.247 0.250
Te: 0.609 0.391 0.545


This record from OQMD via LeMat-Bulk describes a relaxed structure of KTmGa4Au2. The functional is GGA-PBE.

a = 6.788 Å, b = 5.714 Å, c = 5.714 Å
α = 47.16°, β = 90.00°, γ = 90.00°
Element x y z (fractional)
K: 0.000 0.590 0.590
Ga: 0.308 0.125 0.125
Ga: 0.692 0.125 0.125
Ga: 0.200 0.877 0.877
Tm: 0.500 0.403 0.403
Au: 0.500 0.700 0.700
Ga: 0.800 0.877 0.877
Au: 0.000 0.301 0.301


This record from OQMD via LeMat-Bulk describes a relaxed structure of NaPrGd. The functional is GGA-PBE.

a = 5.398 Å, b = 5.398 Å, c = 5.398 Å
α = 60.00°, β = 60.00°, γ = 60.00°
Element x y z (fractional)
Pr: 0.750 0.750 0.750
Na: 0.000 0.000 0.000
Gd: 0.250 0.250 0.250

Relative energy among the computed polymorphs in meV per atom: 0.0


This record from OQMD via LeMat-Bulk describes a relaxed structure of YMgAl4Pd2. The functional is GGA-PBE.

a = 7.030 Å, b = 5.346 Å, c = 5.346 Å
α = 46.57°, β = 90.00°, γ = 90.00°
Element x y z (fractional)
Al: 0.193 0.145 0.145
Al: 0.703 0.859 0.859
Y: 0.500 0.568 0.568
Pd: 0.500 0.285 0.285
Pd: 0.000 0.708 0.708
Mg: 0.000 0.430 0.430
Al: 0.297 0.859 0.859
Al: 0.807 0.145 0.145


This record from OQMD via LeMat-Bulk describes a relaxed structure of Zr5Al3. The functional is GGA-PBE.

a = 5.389 Å, b = 8.293 Å, c = 8.293 Å
α = 96.06°, β = 71.04°, γ = 108.96°
Element x y z (fractional)
Zr: 0.579 0.298 0.140
Al: 0.750 0.000 0.000
Zr: 0.079 0.860 0.702
Zr: 0.921 0.140 0.298
Al: 0.337 0.174 0.500
Al: 0.250 0.000 0.000
Zr: 0.250 0.500 0.500
Zr: 0.719 0.140 0.702
Zr: 0.281 0.860 0.298
Al: 0.663 0.826 0.500
Zr: 0.781 0.702 0.140
Zr: 0.219 0.298 0.860
Al: 0.837 0.500 0.826
Al: 0.163 0.500 0.174
Zr: 0.750 0.500 0.500
Zr: 0.421 0.702 0.860


Q: Which VASP energy values were calculated for the entries above? A: -6.963; -5.608; -4.835; -4.421; -3.398; -2.831; -4.839; -7.122, in eV/atom.